Compound: Li2ScPb
Source: Alexandria
Functional: PBEsol
Structure: optimized geometry

Cell lengths 4.8341, 4.8341, 4.8341 Å; angles 60.00, 60.00, 60.00 degrees
Atoms (fractional coordinates):
Li1 0.0000 0.0000 0.0000
Li2 0.2500 0.2500 0.2500
Sc1 0.5000 0.5000 0.5000
Pb1 0.7500 0.7500 0.7500

Volume (Å³ per cell): 79.9
ΔE_f (eV per atom): -0.3012
Crystal system: cubic